A plane-wave DFT calculation with PBE+U was carried out for a relaxed structure of Nd3MnO6.

POSCAR file:
```
Nd3MnO6
1.0
4.688 -5.761 0.000
4.688 5.761 0.000
0.000 0.000 5.677
Nd Mn O
6 2 12
direct
0.104 0.896 0.500
0.190 0.412 0.454
0.412 0.190 0.954
0.588 0.810 0.454
0.810 0.588 0.954
0.896 0.104 0.000
0.325 0.675 0.926
0.675 0.325 0.426
0.090 0.598 0.757
0.145 0.170 0.725
0.170 0.145 0.225
0.283 0.717 0.253
0.402 0.910 0.757
0.458 0.542 0.728
0.542 0.458 0.228
0.598 0.090 0.257
0.717 0.283 0.753
0.830 0.855 0.725
0.855 0.830 0.225
0.910 0.402 0.257
```

Values from the calculation:
spin magnetization	8.00	μB per cell
calculated density	6.32	Mg/m³
uncorrected energy	-160.6	eV for the cell shown